No. 1
DFT (PBE) results for a geometry-optimized P3Pd structure.

Calculated values
SG ... Im-3 (204)
Energy ... -5.617 eV/atom
Formation enthalpy at 0 K ... -101 kJ/mol of formula units

Lattice parameters (Å, degrees): 7.1181 7.1181 7.1181 109.47 109.47 109.47
With the nearest neighbours (Å) after each atom.
Positions (direct):
1 P 0.1350 0.3641 0.4991  2 P 2.22-2.23, 2 Pd 2.45
2 P 0.1350 0.6359 0.7709  2 P 2.22-2.23, 2 Pd 2.45
3 P 0.2291 0.8650 0.3641  2 P 2.22-2.23, 2 Pd 2.45
4 P 0.3641 0.2291 0.8650  2 P 2.22-2.23, 2 Pd 2.45
5 P 0.3641 0.4991 0.1350  2 P 2.22-2.23, 2 Pd 2.45
6 P 0.4991 0.1350 0.3641  2 P 2.22-2.23, 2 Pd 2.45
7 P 0.5009 0.8650 0.6359  2 P 2.22-2.23, 2 Pd 2.45
8 P 0.6359 0.5009 0.8650  2 P 2.22-2.23, 2 Pd 2.45
9 P 0.6359 0.7709 0.1350  2 P 2.22-2.23, 2 Pd 2.45
10 P 0.7709 0.1350 0.6359  2 P 2.22-2.23, 2 Pd 2.45
11 P 0.8650 0.3641 0.2291  2 P 2.22-2.23, 2 Pd 2.45
12 P 0.8650 0.6359 0.5009  2 P 2.22-2.23, 2 Pd 2.45
13 Pd 0.0000 0.0000 0.5000  6 P 2.45
14 Pd 0.0000 0.5000 0.0000  6 P 2.45
15 Pd 0.5000 0.0000 0.0000  6 P 2.45
16 Pd 0.5000 0.5000 0.5000  6 P 2.45


No. 2
DFT (PBE) results for a geometry-optimized PPd structure.

Calculated values
SG ... Pm (6)
Energy ... -5.373 eV/atom
Formation enthalpy at 0 K ... -14 kJ/mol of formula units

Lattice parameters (Å, degrees): 2.9641 2.6956 4.3601 90.00 106.61 90.00
With the nearest neighbours (Å) after each atom.
Positions (direct):
1 P 0.0000 0.0000 0.0000  3 Pd 2.34-2.37
2 Pd 0.3208 0.0000 0.5641  3 P 2.34-2.37


No. 3
DFT (PBE) results for a geometry-optimized PPd structure.

Calculated values
SG ... Pmmn (59)
Energy ... -5.470 eV/atom
Formation enthalpy at 0 K ... -33 kJ/mol of formula units

Lattice parameters (Å, degrees): 4.1926 10.9630 5.2209 90.00 90.00 90.00
With the nearest neighbours (Å) after each atom.
Positions (direct):
1 P 0.2500 0.1488 0.0445  1 P 2.22, 4 Pd 2.37-2.46
2 P 0.2500 0.3512 0.0445  1 P 2.22, 4 Pd 2.37-2.46
3 P 0.2500 0.7500 0.3500  4 Pd 2.33-2.35
4 P 0.7500 0.2500 0.6500  4 Pd 2.33-2.35
5 P 0.7500 0.6488 0.9556  1 P 2.22, 4 Pd 2.37-2.46
6 P 0.7500 0.8512 0.9556  1 P 2.22, 4 Pd 2.37-2.46
7 Pd 0.2500 0.2500 0.4481  4 P 2.35-2.38
8 Pd 0.2500 0.5746 0.0968  4 P 2.33-2.46
9 Pd 0.2500 0.9254 0.0968  4 P 2.33-2.46
10 Pd 0.7500 0.0746 0.9032  4 P 2.33-2.46
11 Pd 0.7500 0.4254 0.9032  4 P 2.33-2.46
12 Pd 0.7500 0.7500 0.5519  4 P 2.35-2.38


No. 4
DFT (PBE) results for a geometry-optimized PPd structure.

Calculated values
SG ... Imma (74)
Energy ... -5.627 eV/atom
Formation enthalpy at 0 K ... -63 kJ/mol of formula units

Lattice parameters (Å, degrees): 5.2260 5.2260 5.2260 143.89 127.38 65.48
With the nearest neighbours (Å) after each atom.
Positions (direct):
1 P 0.4184 0.1684 0.2500  2 P 2.16, 3 Pd 2.37-2.39
2 P 0.5816 0.8316 0.7500  2 P 2.16, 3 Pd 2.37-2.39
3 Pd 0.1486 0.8986 0.2500  3 P 2.37-2.39
4 Pd 0.8514 0.1014 0.7500  3 P 2.37-2.39


No. 5
DFT (PBE) results for a geometry-optimized PPd structure.

Calculated values
SG ... I4mm (107)
Energy ... -5.488 eV/atom
Formation enthalpy at 0 K ... -36 kJ/mol of formula units

Lattice parameters (Å, degrees): 4.2313 4.2313 4.2313 138.15 138.15 60.67
With the nearest neighbours (Å) after each atom.
Positions (direct):
1 P 0.0000 0.0000 0.0000  5 Pd 2.45-2.46
2 Pd 0.3362 0.3362 0.0000  5 P 2.45-2.46


No. 6
DFT (PBE) results for a geometry-optimized PPd structure.

Calculated values
SG ... P-6m2 (187)
Energy ... -5.389 eV/atom
Formation enthalpy at 0 K ... -17 kJ/mol of formula units

Lattice parameters (Å, degrees): 3.6458 3.6458 2.8402 90.00 90.00 120.00
With the nearest neighbours (Å) after each atom.
Positions (direct):
1 P 0.0000 0.0000 0.0000  6 Pd 2.54, 2 P 2.84
2 Pd 0.3333 0.6667 0.5000  6 P 2.54, 2 Pd 2.84


No. 7
DFT (PBE) results for a geometry-optimized P2Pd15 structure.

Calculated values
SG ... R-3 (148)
Energy ... -5.461 eV/atom
Formation enthalpy at 0 K ... -399 kJ/mol of formula units

Lattice parameters (Å, degrees): 7.1351 7.1351 7.1351 60.65 60.65 60.65
With the nearest neighbours (Å) after each atom.
Positions (direct):
1 P 0.2147 0.2147 0.2147  6 Pd 2.27-2.28
2 P 0.7853 0.7853 0.7853  6 Pd 2.27-2.28
3 Pd 0.0000 0.0000 0.0000  12 Pd 2.75-2.87
4 Pd 0.0587 0.5529 0.2746  1 P 2.27
5 Pd 0.1341 0.6551 0.8191  1 P 2.28
6 Pd 0.1809 0.8659 0.3449  1 P 2.28
7 Pd 0.2746 0.0587 0.5529  1 P 2.27
8 Pd 0.3449 0.1809 0.8659  1 P 2.28
9 Pd 0.4207 0.4207 0.4207  10 Pd 2.68-2.99
10 Pd 0.4471 0.7254 0.9413  1 P 2.27
11 Pd 0.5529 0.2746 0.0587  1 P 2.27
12 Pd 0.5793 0.5793 0.5793  10 Pd 2.68-2.99
13 Pd 0.6551 0.8191 0.1341  1 P 2.28
14 Pd 0.7254 0.9413 0.4471  1 P 2.27
15 Pd 0.8191 0.1341 0.6551  1 P 2.28
16 Pd 0.8659 0.3449 0.1809  1 P 2.28
17 Pd 0.9413 0.4471 0.7254  1 P 2.27


No. 8
DFT (PBE) results for a geometry-optimized PPd structure.

Calculated values
SG ... C2/m (12)
Energy ... -5.635 eV/atom
Formation enthalpy at 0 K ... -64 kJ/mol of formula units

Lattice parameters (Å, degrees): 4.1761 4.1761 4.7108 114.73 114.73 67.77
With the nearest neighbours (Å) after each atom.
Positions (direct):
1 P 0.1833 0.1833 0.1326  1 P 2.20, 4 Pd 2.39-2.44
2 P 0.8167 0.8167 0.8674  1 P 2.20, 4 Pd 2.39-2.44
3 Pd 0.2645 0.2645 0.6893  4 P 2.39-2.44
4 Pd 0.7355 0.7355 0.3107  4 P 2.39-2.44